! MgMnMo2 | the Alexandria database | GGA-PBE | relaxed; values from VASP
! * symmetry: Cmmm
! * total moment: 1.33 μB/f.u.
! * electronic total energy: -31.5 eV/cell
! * energy of formation from the pure elements: 243 meV per atom
&SYSTEM
  ibrav = 0, nat = 4, ntyp = 3
/
ATOMIC_SPECIES
Mg 24.30 Mg.upf
Mn 54.94 Mn.upf
Mo 95.94 Mo.upf
ATOMIC_POSITIONS angstrom
Mg 0.930 1.310 2.203
Mn 0.930 1.310 6.609
Mo 0.000 0.000 8.591
Mo 0.000 0.000 4.626
CELL_PARAMETERS angstrom
2.705 0.050 0.000
-0.845 2.570 0.000
0.000 0.000 8.811